No. 1
Material: GdNiHgPt
Method: DFT, PBE
State: optimized geometry

a = 6.726 Å, b = 6.726 Å, c = 6.726 Å
α = 90.00°, β = 90.00°, γ = 90.00°
Space group F-43m (No. 216)
Unique sites:
Gd1 0.000 0.000 0.000 x4
Ni1 0.250 0.250 0.250 x4
Hg1 0.000 0.000 0.500 x4
Pt1 0.250 0.250 0.750 x4

Results
**E**: -7.002 eV/atom
**D(E_F)**: 10.356 states/eV per cell
**Volume**: 19.02 Å³/atom
**Formation enthalpy at 0 K**: -0.45 eV per atom
**Magnetization**: 28.1 Bohr magnetons per cell

***

No. 2
Material: GdNiSnHg
Method: DFT, PBE
State: optimized geometry

a = 6.992 Å, b = 6.992 Å, c = 6.992 Å
α = 90.00°, β = 90.00°, γ = 90.00°
Space group F-43m (No. 216)
Unique sites:
Gd1 0.000 0.000 0.000 x4
Ni1 0.250 0.250 0.250 x4
Sn1 0.000 0.000 0.500 x4
Hg1 0.250 0.250 0.750 x4

Results
**E**: -6.310 eV/atom
**D(E_F)**: 10.131 states/eV per cell
**Volume**: 21.36 Å³/atom
**Formation enthalpy at 0 K**: -0.27 eV per atom
**Magnetization**: 28.0 Bohr magnetons per cell

***

No. 3
Material: TbGdNiHg
Method: DFT, PBE
State: optimized geometry

a = 7.193 Å, b = 7.193 Å, c = 7.193 Å
α = 90.00°, β = 90.00°, γ = 90.00°
Space group F-43m (No. 216)
Unique sites:
Tb1 0.000 0.000 0.000 x4
Gd1 0.000 0.000 0.500 x4
Ni1 0.250 0.250 0.750 x4
Hg1 0.250 0.250 0.250 x4

Results
**E**: -6.541 eV/atom
**D(E_F)**: 10.611 states/eV per cell
**Volume**: 23.26 Å³/atom
**Formation enthalpy at 0 K**: -0.34 eV per atom
**Magnetization**: 28.4 Bohr magnetons per cell

***

No. 4
Material: Gd2HgO4
Method: DFT, PBE
State: optimized geometry

a = 13.822 Å, b = 3.714 Å, c = 10.231 Å
α = 90.00°, β = 121.93°, γ = 90.00°
Space group C2/m (No. 12)
Unique sites:
Gd1 0.119 0.000 0.462 x4
Gd2 0.159 0.500 0.799 x4
Hg1 0.114 0.500 0.161 x4
O1 0.035 0.500 0.281 x4
O2 0.082 0.000 0.653 x4
O3 0.203 0.500 0.056 x4
O4 0.230 0.500 0.611 x4

Results
**E**: -9.481 eV/atom
**D(E_F)**: 0.000 states/eV per cell
**E_form (uncorrected)**: -2581.8 meV/atom
**Volume**: 15.92 Å³/atom
**Magnetization**: 0.2 Bohr magnetons per cell

***

No. 5
Material: Gd2HgO
Method: DFT, PBE
State: optimized geometry

a = 3.6336 Å, b = 3.6336 Å, c = 22.6409 Å
α = 90.00°, β = 90.00°, γ = 120.00°
Space group R-3m (No. 166, hexagonal axes)
Unique sites:
Gd1 0.0000 0.0000 0.2255 x6
Hg1 0.0000 0.0000 0.0000 x3
O1 0.0000 0.0000 0.5000 x3

Results
**E**: -9.874 eV/atom
**D(E_F)**: 11.551 states/eV per cell
**E_form (uncorrected)**: -1518.4 meV/atom
**Volume**: 21.57 Å³/atom
**Magnetization**: 43.3 Bohr magnetons per cell

***

No. 6
Material: Gd4Hg2O
Method: DFT, PBE
State: optimized geometry

a = 4.776 Å, b = 4.776 Å, c = 15.598 Å
α = 90.00°, β = 90.00°, γ = 90.00°
Space group I4/mmm (No. 139)
Unique sites:
Gd1 0.000 0.000 0.177 x4
Gd2 0.000 0.500 0.000 x4
Hg1 0.000 0.000 0.368 x4
O1 0.000 0.000 0.000 x2

Results
**E**: -9.901 eV/atom
**D(E_F)**: 15.841 states/eV per cell
**E_form (uncorrected)**: -1060.3 meV/atom
**Volume**: 25.41 Å³/atom
**Magnetization**: 57.0 Bohr magnetons per cell

***

No. 7
Material: PmGdHgOs
Method: DFT, PBE
State: optimized geometry

a = 7.218 Å, b = 7.218 Å, c = 7.218 Å
α = 90.00°, β = 90.00°, γ = 90.00°
Space group F-43m (No. 216)
Unique sites:
Pm1 0.000 0.000 0.000 x4
Gd1 0.000 0.000 0.500 x4
Hg1 0.250 0.250 0.750 x4
Os1 0.250 0.250 0.250 x4

Results
**E**: -7.775 eV/atom
**D(E_F)**: 11.177 states/eV per cell
**Volume**: 23.50 Å³/atom
**Formation enthalpy at 0 K**: -0.18 eV per atom
**Magnetization**: 28.2 Bohr magnetons per cell

***

No. 8
Material: GdScHgOs
Method: DFT, PBE
State: optimized geometry

a = 6.947 Å, b = 6.947 Å, c = 6.947 Å
α = 90.00°, β = 90.00°, γ = 90.00°
Space group F-43m (No. 216)
Unique sites:
Gd1 0.000 0.000 0.000 x4
Sc1 0.000 0.000 0.500 x4
Hg1 0.250 0.250 0.250 x4
Os1 0.250 0.250 0.750 x4

Results
**E**: -8.222 eV/atom
**D(E_F)**: 13.175 states/eV per cell
**Volume**: 20.95 Å³/atom
**Formation enthalpy at 0 K**: -0.24 eV per atom
**Magnetization**: 28.5 Bohr magnetons per cell